This record from the Alexandria database describes a relaxed structure of K4LiMn3F12. The functional is GGA+U.

Summary:
* mass density: 3.2 Mg/m³
* DOS(E_F): 6.0 states/eV per cell
* total DFT energy (no corrections): -106.31 eV/cell

Cell: 7.2272 7.2272 7.2272 Å, 109.47 109.47 109.47°
Closest atoms and distances in Å follow each position.
Fractional coordinates of all 20 atoms:
K 0.5000 0.5000 0.5000  12 F 2.95
K 0.0000 0.0000 0.5000  12 F 2.95
K 0.5000 0.0000 0.0000  12 F 2.95
K 0.0000 0.5000 0.0000  12 F 2.95
Li 0.0000 0.0000 0.0000  6 F 2.15
Mn 0.5000 0.0000 0.5000  6 F 2.02-2.09
Mn 0.5000 0.5000 0.0000  6 F 2.02-2.09
Mn 0.0000 0.5000 0.5000  6 F 2.02-2.09
F 0.2500 0.5000 0.7500  2 Mn 2.09
F 0.7420 0.0000 0.7420  1 Mn 2.02, 1 Li 2.15
F 0.2580 0.0000 0.2580  1 Mn 2.02, 1 Li 2.15
F 0.7500 0.5000 0.2500  2 Mn 2.09
F 0.7420 0.7420 0.0000  1 Mn 2.02, 1 Li 2.15
F 0.2580 0.2580 0.0000  1 Mn 2.02, 1 Li 2.15
F 0.7500 0.2500 0.5000  2 Mn 2.09
F 0.2500 0.7500 0.5000  2 Mn 2.09
F 0.5000 0.2500 0.7500  2 Mn 2.09
F 0.0000 0.7420 0.7420  1 Mn 2.02, 1 Li 2.15
F 0.5000 0.7500 0.2500  2 Mn 2.09
F 0.0000 0.2580 0.2580  1 Mn 2.02, 1 Li 2.15